Li7Mn16O32: relaxed, PBE with a Hubbard U.

abc: 8.3254 8.4862 10.2246
angles: 114.01 113.50 90.15
Last column: nearest neighbours and their distance in Å.
Space group P1 (No. 1)
Unique sites:
Li (0.0000, 0.0000, 0.0000) x1  4 O 1.96-2.09
Li (0.1183, 0.6162, 0.7465) x1  4 O 1.98-2.07
Li (0.2444, 0.7565, 0.4993) x1  4 O 1.99-2.05
Li (0.3711, 0.3706, 0.2532) x1  4 O 2.00-2.13
Li (0.4966, 0.4988, 0.9917) x1  4 O 1.93-2.01
Li (0.6146, 0.1201, 0.7467) x1  4 O 1.96-2.05
Li (0.8628, 0.8649, 0.2474) x1  4 O 1.94-2.01
Mn (0.0545, 0.3055, 0.3680) x1  4 O 1.95-2.01
Mn (0.0600, 0.3144, 0.8721) x1  6 O 1.91-1.99
Mn (0.1792, 0.6844, 0.1195) x1  6 O 1.97-2.19
Mn (0.1802, 0.1785, 0.6211) x1  6 O 1.94-1.96
Mn (0.3060, 0.0496, 0.3742) x1  6 O 1.91-1.99
Mn (0.3132, 0.0708, 0.8840) x1  4 O 1.95-2.00
Mn (0.4321, 0.4279, 0.6164) x1  4 O 1.94-2.03
Mn (0.4423, 0.9345, 0.1290) x1  6 O 1.92-1.99
Mn (0.5557, 0.8085, 0.8743) x1  6 O 1.94-2.17
Mn (0.5602, 0.8088, 0.3725) x1  6 O 1.90-1.98
Mn (0.6804, 0.6918, 0.6266) x1  6 O 1.93-1.98
Mn (0.6834, 0.1890, 0.1219) x1  6 O 1.92-1.99
Mn (0.7994, 0.5528, 0.8644) x1  6 O 1.90-1.99
Mn (0.8085, 0.5639, 0.3724) x1  5 O 1.95-2.18
Mn (0.9223, 0.4355, 0.1153) x1  6 O 1.90-1.99
Mn (0.9341, 0.9394, 0.6320) x1  5 O 1.95-2.16
O (0.0293, 0.5534, 0.3415) x1  2 Mn 1.90-1.98, 1 Li 2.05
O (0.0436, 0.5526, 0.8832) x1  3 Mn 1.96-2.00, 1 Li 1.98
O (0.0824, 0.0550, 0.3888) x1  2 Mn 1.93-1.96, 1 Li 2.00
O (0.0828, 0.0980, 0.8886) x1  2 Mn 1.91-1.95, 1 Li 1.96
O (0.1561, 0.4472, 0.1074) x1  3 Mn 1.97-1.99, 1 Li 2.13
O (0.1818, 0.9633, 0.6473) x1  3 Mn 1.95-2.01, 1 Li 2.03
O (0.1832, 0.3998, 0.6025) x1  3 Mn 1.96-2.03, 1 Li 2.07
O (0.2087, 0.9263, 0.1376) x1  3 Mn 1.98-1.99, 1 Li 2.04
O (0.2792, 0.3113, 0.8529) x1  2 Mn 1.91-1.96, 1 Li 1.98
O (0.2987, 0.2847, 0.3810) x1  3 Mn 1.97-2.00, 1 Li 2.00
O (0.3152, 0.8121, 0.3558) x1  3 Mn 1.95-1.99, 1 Li 1.99
O (0.3368, 0.8191, 0.9000) x1  2 Mn 1.92-1.94, 1 Li 2.06
O (0.4022, 0.1643, 0.6009) x1  2 Mn 1.91-1.94, 1 Li 1.96
O (0.4478, 0.1641, 0.1205) x1  3 Mn 1.97-2.00, 1 Li 2.02
O (0.4509, 0.7144, 0.1431) x1  2 Mn 1.93, 1 Li 2.01
O (0.4545, 0.6939, 0.6375) x1  2 Mn 1.93-1.99, 1 Li 2.00
O (0.5344, 0.0315, 0.3602) x1  3 Mn 1.95-1.97
O (0.5516, 0.0691, 0.8942) x1  3 Mn 1.92-2.14, 1 Li 1.97
O (0.5627, 0.5419, 0.8465) x1  2 Mn 1.90-1.94, 1 Li 1.93
O (0.5747, 0.5877, 0.3934) x1  3 Mn 1.96-2.04, 1 Li 2.05
O (0.6685, 0.9523, 0.1164) x1  3 Mn 1.95-2.04, 1 Li 2.01
O (0.6787, 0.4684, 0.6352) x1  3 Mn 1.93-2.00
O (0.6816, 0.9134, 0.6077) x1  3 Mn 1.97-2.02, 1 Li 2.00
O (0.6924, 0.4108, 0.1133) x1  2 Mn 1.92, 1 Li 1.98
O (0.7858, 0.7850, 0.8609) x1  3 Mn 1.98-1.99, 1 Li 2.09
O (0.7893, 0.7947, 0.3767) x1  2 Mn 1.90-1.95, 1 Li 1.94
O (0.8152, 0.3243, 0.3521) x1  3 Mn 1.95-1.96
O (0.8267, 0.3281, 0.8791) x1  3 Mn 1.97-1.99, 1 Li 2.05
O (0.9059, 0.6501, 0.0937) x1  2 Mn 1.92-1.93, 1 Li 2.01
O (0.9157, 0.7101, 0.6309) x1  2 Mn 1.95, 1 Li 2.02
O (0.9228, 0.2091, 0.1296) x1  3 Mn 1.97-2.01, 1 Li 2.02
O (0.9586, 0.1775, 0.6439) x1  3 Mn 1.93-1.98

* mass density: 4.029 g/cm³
* volume: 593.28 Å³ per cell
* electronic total energy: -6.917 eV per atom